(1)
! GGA+U Ac2CrBO6, relaxed; values from VASP
! * volume: 11.7 A^3/atom
! * theoretical density: 8.73 Mg/m³
! * E_tot: -0.2853 Ha/atom
! * SG: P4mm, No. 99
&SYSTEM
  ibrav = 0, nat = 10, ntyp = 4
/
ATOMIC_SPECIES
Ac 227.00 Ac.upf
Cr 52.00 Cr.upf
B 10.81 B.upf
O 16.00 O.upf
CELL_PARAMETERS angstrom
-2.344 -0.987 3.161
-4.151 -0.739 -3.309
1.381 -5.146 -0.583
ATOMIC_POSITIONS crystal
Ac 0.127 0.500 0.000
Ac 0.127 0.000 0.500
Cr 0.641 0.500 0.500
B 0.557 0.000 0.000
O 0.659 0.231 0.231
O 0.659 0.231 0.769
O 0.145 0.500 0.500
O 0.216 0.000 0.000
O 0.659 0.769 0.769
O 0.659 0.769 0.231

---

(2)
! GGA+U AcCrB2O6, relaxed; values from VASP
! * volume: 11.9 A^3/atom
! * theoretical density: 5.55 Mg/m³
! * E_tot: -0.2987 Ha/atom
! * SG: R-3, No. 148
&SYSTEM
  ibrav = 0, nat = 10, ntyp = 4
/
ATOMIC_SPECIES
Ac 227.00 Ac.upf
Cr 52.00 Cr.upf
B 10.81 B.upf
O 16.00 O.upf
CELL_PARAMETERS angstrom
-0.837 3.185 -3.728
-1.595 -1.685 -4.400
-6.053 1.085 -1.033
ATOMIC_POSITIONS crystal
Ac 0.000 0.000 0.000
Cr 0.500 0.500 0.500
B 0.765 0.765 0.705
B 0.235 0.235 0.295
O 0.064 0.518 0.718
O 0.700 0.064 0.718
O 0.482 0.300 0.282
O 0.936 0.482 0.282
O 0.300 0.936 0.282
O 0.518 0.700 0.718